Material: Ca2ScAu2
Method: DFT, GGA-PBE
State: relaxed

Computed properties:
- crystal system = tetragonal
- Fermi-level density of states (states/eV per atom) = 0.778
- space-group type = No. 139
- energy above the lowest structure with this stoichiometry (kJ/mol of atoms) = 46.94
- E_form (meV per atom) = -156

abc: 3.869 3.869 19.281
angles: 90.00 90.00 90.00
Positions (direct):
1 Ca 0.000 0.000 0.124
2 Ca 0.000 0.000 0.876
3 Ca 0.500 0.500 0.376
4 Ca 0.500 0.500 0.624
5 Sc 0.000 0.000 0.500
6 Sc 0.500 0.500 0.000
7 Au 0.000 0.500 0.250
8 Au 0.000 0.500 0.750
9 Au 0.500 0.000 0.250
10 Au 0.500 0.000 0.750

Material: AcPm6Nd12
Method: DFT, GGA-PBE
State: relaxed

Computed properties:
- crystal system = trigonal
- Fermi-level density of states (states/eV per atom) = 1.828
- space-group type = No. 166
- energy above the lowest structure with this stoichiometry (kJ/mol of atoms) = 4.91
- E_form (meV per atom) = 183

abc: 8.997 8.997 8.997
angles: 99.53 99.53 99.53
Positions (direct):
1 Ac 0.000 0.000 0.000
2 Pm 0.099 0.099 0.656
3 Pm 0.099 0.656 0.099
4 Pm 0.344 0.901 0.901
5 Pm 0.656 0.099 0.099
6 Pm 0.901 0.344 0.901
7 Pm 0.901 0.901 0.344
8 Nd 0.082 0.355 0.355
9 Nd 0.240 0.500 0.760
10 Nd 0.240 0.760 0.500
11 Nd 0.355 0.082 0.355
12 Nd 0.355 0.355 0.082
13 Nd 0.500 0.240 0.760
14 Nd 0.500 0.760 0.240
15 Nd 0.645 0.645 0.918
16 Nd 0.645 0.918 0.645
17 Nd 0.760 0.240 0.500
18 Nd 0.760 0.500 0.240
19 Nd 0.918 0.645 0.645